Here is an optimized crystal structure of Sr2CdSb4Rh3 from Alexandria. Energies are from PBE.

Calculated values
Mass density   7.56 Mg/m³
Uncorrected formation energy   -0.62 eV/atom

Lattice parameters (Å, degrees): 4.638 4.638 11.061 90.00 90.00 90.00
Sites, in units of the cell vectors:
Sr1 0.000 0.500 0.246
Sr2 0.500 0.000 0.754
Cd1 0.000 0.000 0.500
Sb1 0.000 0.000 0.000
Sb2 0.000 0.500 0.646
Sb3 0.500 0.000 0.354
Sb4 0.500 0.500 0.000
Rh1 0.000 0.500 0.884
Rh2 0.500 0.000 0.116
Rh3 0.500 0.500 0.500